This record from Alexandria describes crystalline BaThCu2Te4 at its relaxed geometry. The functional is GGA-PBE.

a = 7.2850 Å, b = 8.2970 Å, c = 8.9594 Å
α = 90.00°, β = 90.00°, γ = 90.00°
Closest atoms and distances in Å follow each position.
Space group I222 (No. 23)
One atom of each set of equivalent atoms:
Ba  0.0000  0.0000  0.0000 (multiplicity 2)  8 Te 3.57-3.65
Th  0.0000  0.0000  0.5000 (multiplicity 2)  4 Te 3.05
Cu  0.0000  0.5000  0.1389 (multiplicity 4)  1 Cu 2.49, 2 Te 2.51
Te  0.2487  0.3011  0.8000 (multiplicity 8)  1 Cu 2.51

Properties
Raw total energy, eV/atom: -4.515
Uncorrected formation energy, eV/atom: -0.753

This record from Alexandria describes crystalline Mn4Pd3Au at its relaxed geometry. The functional is GGA-PBE.

a = 4.4338 Å, b = 4.4338 Å, c = 12.6903 Å
α = 90.00°, β = 90.00°, γ = 90.00°
Closest atoms and distances in Å follow each position.
Space group I4/mmm (No. 139)
One atom of each set of equivalent atoms:
Mn  0.0000  0.5000  0.1269 (multiplicity 8)  6 Pd 2.70-2.74, 2 Au 2.74
Pd  0.0000  0.0000  0.0000 (multiplicity 2)  8 Mn 2.74
Pd  0.0000  0.0000  0.2486 (multiplicity 4)  8 Mn 2.70-2.72
Au  0.0000  0.0000  0.5000 (multiplicity 2)  8 Mn 2.74

Properties
Calculated formation energy, meV/atom: -137
Raw total energy, eV/atom: -7.078

This record from Alexandria describes crystalline KEuBi2 at its relaxed geometry. The functional is GGA-PBE.

a = 5.2602 Å, b = 5.2602 Å, c = 4.8681 Å
α = 90.00°, β = 90.00°, γ = 90.00°
Closest atoms and distances in Å follow each position.
Space group P4/mmm (No. 123)
One atom of each set of equivalent atoms:
K  0.0000  0.0000  0.0000 (multiplicity 1)  8 Bi 3.58, 4 Eu 3.72
Eu  0.5000  0.5000  0.0000 (multiplicity 1)  8 Bi 3.58, 4 K 3.72
Bi  0.0000  0.5000  0.5000 (multiplicity 2)  4 Eu 3.58, 4 K 3.58, 4 Bi 3.72

Properties
Calculated formation energy, meV/atom: -513
Raw total energy, eV/atom: -5.297
E above lowest polymorph, meV/atom: 63.0

This record from Alexandria describes crystalline Pa2TiCo3H12 at its relaxed geometry. The functional is GGA-PBE.

a = 5.7793 Å, b = 5.7793 Å, c = 14.3796 Å
α = 90.00°, β = 90.00°, γ = 120.00°
Closest atoms and distances in Å follow each position.
Space group R-3m (No. 166, hexagonal axes)
One atom of each set of equivalent atoms:
Pa  0.0000  0.0000  0.1122 (multiplicity 6)  9 H 2.23-2.43
Ti  0.0000  0.0000  0.5000 (multiplicity 3)  6 H 1.89
Co  0.0000  0.5000  0.0000 (multiplicity 9)  6 H 1.61-1.63
H  0.0121  0.5061  0.8868 (multiplicity 18)  1 Co 1.63
H  0.0233  0.5116  0.3307 (multiplicity 18)  2 Co 1.61, 2 H 1.79

Properties
Raw total energy, eV/atom: -5.068

This record from Alexandria describes crystalline Re2PF at its relaxed geometry. The functional is GGA-PBE.

a = 6.4001 Å, b = 6.4001 Å, c = 5.4109 Å
α = 90.00°, β = 90.00°, γ = 90.00°
Closest atoms and distances in Å follow each position.
Space group I-42d (No. 122)
One atom of each set of equivalent atoms:
Re  0.2458  0.2500  0.1250 (multiplicity 8)  2 P 2.34, 2 F 2.38
P  0.0000  0.0000  0.0000 (multiplicity 4)  4 Re 2.34
F  0.0000  0.0000  0.5000 (multiplicity 4)  4 Re 2.38

Properties
Raw total energy, eV/atom: -7.601
E above lowest polymorph, meV/atom: 380.2
Uncorrected formation energy, eV/atom: 0.444

This record from Alexandria describes crystalline Ge2BMoPd at its relaxed geometry. The functional is GGA-PBE.

a = 4.8250 Å, b = 4.8250 Å, c = 4.1548 Å
α = 90.00°, β = 90.00°, γ = 90.00°
Closest atoms and distances in Å follow each position.
Space group P4/mmm (No. 123)
One atom of each set of equivalent atoms:
Ge  0.0000  0.5000  0.0000 (multiplicity 2)  2 Mo 2.41
B  0.0000  0.0000  0.5000 (multiplicity 1)  2 Mo 2.08
Mo  0.0000  0.0000  0.0000 (multiplicity 1)  2 B 2.08
Pd  0.5000  0.5000  0.5000 (multiplicity 1)  8 Ge 3.18, 4 B 3.41

Properties
Calculated formation energy, meV/atom: 881
Raw total energy, eV/atom: -5.506